1.
{"formula": "Cs2HgSeF", "functional": "PBE-GGA", "state": "optimized geometry", "lattice": [[7.4915, 0.0000, 0.0000], [0.0000, 5.2721, 0.0000], [-3.3686, 0.0000, 10.4802]], "species": ["Cs", "Cs", "Cs", "Cs", "Hg", "Hg", "Se", "Se", "F", "F"], "frac_coords": [[0.1698, 0.2500, 0.3390], [0.2353, 0.2500, 0.0066], [0.7647, 0.7500, 0.9934], [0.8302, 0.7500, 0.6610], [0.3656, 0.2500, 0.6998], [0.6344, 0.7500, 0.3002], [0.3439, 0.7500, 0.6949], [0.6561, 0.2500, 0.3051], [0.1414, 0.7500, 0.1381], [0.8586, 0.2500, 0.8619]], "total_magnetization_mub_per_fu": 0.00, "rho_g_cm3": 4.528, "e_form_raw_ev_per_atom": -1.39, "final_energy_ev_per_atom": -2.865, "sg": "No. 11"}

2.
{"formula": "Cs2SiHgF6", "functional": "PBE-GGA", "state": "optimized geometry", "lattice": [[0.0000, 4.7774, 4.7774], [4.7774, 0.0000, 4.7774], [4.7774, 4.7774, 0.0000]], "species": ["Cs", "Cs", "Si", "Hg", "F", "F", "F", "F", "F", "F"], "frac_coords": [[0.2500, 0.2500, 0.2500], [0.7500, 0.7500, 0.7500], [0.0000, 0.0000, 0.0000], [0.5000, 0.5000, 0.5000], [0.1803, 0.1803, 0.8197], [0.1803, 0.8197, 0.1803], [0.1803, 0.8197, 0.8197], [0.8197, 0.1803, 0.1803], [0.8197, 0.1803, 0.8197], [0.8197, 0.8197, 0.1803]], "total_magnetization_mub_per_fu": 0.00, "rho_g_cm3": 4.633, "e_form_raw_ev_per_atom": -2.78, "final_energy_ev_per_atom": -4.650, "sg": "No. 225"}

3.
{"formula": "CsSiHgF6", "functional": "PBE-GGA", "state": "optimized geometry", "lattice": [[3.0981, -5.3942, 0.0000], [3.0981, 5.3942, 0.0000], [-0.0103, 0.0000, 5.5432]], "species": ["Cs", "Si", "Hg", "F", "F", "F", "F", "F", "F"], "frac_coords": [[0.0000, 0.0000, 0.0000], [0.3333, 0.6667, 0.5000], [0.6659, 0.3341, 0.5000], [0.1040, 0.4388, 0.3219], [0.1074, 0.6663, 0.6803], [0.3337, 0.8926, 0.3197], [0.3356, 0.4423, 0.6807], [0.5577, 0.6644, 0.3193], [0.5612, 0.8960, 0.6781]], "total_magnetization_mub_per_fu": 0.85, "rho_g_cm3": 4.262, "e_form_raw_ev_per_atom": -2.61, "final_energy_ev_per_atom": -4.589, "sg": "No. 5"}

4.
{"formula": "Cs2SmHgF6", "functional": "PBE-GGA", "state": "optimized geometry", "lattice": [[6.8940, 0.0000, 0.0000], [0.0000, 9.7460, 0.0000], [0.0000, 0.0000, 6.8980]], "species": ["Cs", "Cs", "Cs", "Cs", "Sm", "Sm", "Hg", "Hg", "F", "F", "F", "F", "F", "F", "F", "F", "F", "F", "F", "F"], "frac_coords": [[0.2500, 0.9999, 0.2462], [0.2500, 0.5001, 0.2462], [0.7500, 0.0001, 0.7538], [0.7500, 0.4999, 0.7538], [0.2500, 0.2500, 0.7520], [0.7500, 0.7500, 0.2480], [0.2500, 0.7500, 0.7476], [0.7500, 0.2500, 0.2524], [0.0185, 0.2500, 0.9814], [0.0207, 0.2500, 0.5210], [0.2500, 0.0196, 0.7594], [0.2500, 0.4804, 0.7594], [0.4793, 0.2500, 0.5210], [0.4815, 0.2500, 0.9814], [0.5185, 0.7500, 0.0186], [0.5207, 0.7500, 0.4790], [0.7500, 0.5196, 0.2406], [0.7500, 0.9804, 0.2406], [0.9793, 0.7500, 0.4790], [0.9815, 0.7500, 0.0186]], "total_magnetization_mub_per_fu": 0.97, "rho_g_cm3": 5.236, "e_form_raw_ev_per_atom": -2.87, "final_energy_ev_per_atom": -4.662, "sg": "No. 59"}

5.
{"formula": "CsSmHgF6", "functional": "PBE-GGA", "state": "optimized geometry", "lattice": [[-4.0412, 4.3136, 6.0976], [4.0412, -4.3136, 6.0976], [4.0412, 4.3136, -6.0976]], "species": ["Cs", "Cs", "Sm", "Sm", "Hg", "Hg", "F", "F", "F", "F", "F", "F", "F", "F", "F", "F", "F", "F"], "frac_coords": [[0.3242, 0.0742, 0.2500], [0.6758, 0.9258, 0.7500], [0.0000, 0.5000, 0.5000], [0.5000, 0.5000, 0.0000], [0.0000, 0.0000, 0.5000], [0.0000, 0.5000, 0.0000], [0.0682, 0.4119, 0.2441], [0.0682, 0.8241, 0.6563], [0.0811, 0.8311, 0.2500], [0.3073, 0.5573, 0.7500], [0.3322, 0.1759, 0.7441], [0.3322, 0.5881, 0.1563], [0.6678, 0.4119, 0.8437], [0.6678, 0.8241, 0.2559], [0.6927, 0.4427, 0.2500], [0.9189, 0.1689, 0.7500], [0.9318, 0.1759, 0.3437], [0.9318, 0.5881, 0.7559]], "total_magnetization_mub_per_fu": 0.00, "rho_g_cm3": 4.670, "e_form_raw_ev_per_atom": -2.88, "final_energy_ev_per_atom": -4.782, "sg": "No. 74"}

6.
{"formula": "Cs2SmHg3F12", "functional": "PBE-GGA", "state": "optimized geometry", "lattice": [[4.1473, 2.3945, 7.0793], [-4.1473, 2.3945, 7.0793], [0.0000, -4.7889, 7.0793]], "species": ["Cs", "Cs", "Sm", "Hg", "Hg", "Hg", "F", "F", "F", "F", "F", "F", "F", "F", "F", "F", "F", "F"], "frac_coords": [[0.1748, 0.1748, 0.1748], [0.8252, 0.8252, 0.8252], [0.5000, 0.5000, 0.5000], [0.0000, 0.5000, 0.5000], [0.5000, 0.0000, 0.5000], [0.5000, 0.5000, 0.0000], [0.1780, 0.5755, 0.5755], [0.1817, 0.1817, 0.5514], [0.1817, 0.5514, 0.1817], [0.4245, 0.4244, 0.8220], [0.4245, 0.8220, 0.4245], [0.4486, 0.8183, 0.8183], [0.5514, 0.1817, 0.1817], [0.5755, 0.1780, 0.5755], [0.5755, 0.5755, 0.1780], [0.8183, 0.4486, 0.8183], [0.8183, 0.8183, 0.4486], [0.8220, 0.4245, 0.4245]], "total_magnetization_mub_per_fu": 0.00, "rho_g_cm3": 4.905, "e_form_raw_ev_per_atom": -2.26, "final_energy_ev_per_atom": -3.919, "sg": "No. 166"}